1.
# LiSc2Br | the Alexandria database | PBE | relaxed
data_LiSc2Br
_chemical_formula_sum 'Li2 Sc4 Br2'
_space_group_name_H-M_alt 'C 1 2/m 1'
_space_group_IT_number 12
_cell_length_a 6.4108
_cell_length_b 9.4563
_cell_length_c 3.2897
_cell_angle_alpha 90.00
_cell_angle_beta 115.36
_cell_angle_gamma 90.00
loop_
_space_group_symop_operation_xyz
'x,y,z'
'-x,-y,-z'
'-x,y,-z'
'x,-y,z'
'x+1/2,y+1/2,z'
'-x+1/2,-y+1/2,-z'
'-x+1/2,y+1/2,-z'
'x+1/2,-y+1/2,z'
loop_
_atom_site_label
_atom_site_type_symbol
_atom_site_fract_x
_atom_site_fract_y
_atom_site_fract_z
Li1 Li 0.0000 0.0000 0.0000
Sc1 Sc 0.2500 0.2500 0.5000
Br1 Br 0.0000 0.5000 0.0000
# Total moment, μB/atom: 0.0043
# Density of states at the Fermi level, states/eV/f.u.: 5.84
# Formation energy from raw total energies, eV/atom: -0.13
# Calculated density, g cm⁻³: 3.3

***

2.
# TbSm14Cd | the Alexandria database | PBE | relaxed
data_TbSm14Cd
_chemical_formula_sum 'Tb2 Sm28 Cd2'
_space_group_name_H-M_alt 'A m m 2'
_space_group_IT_number 38
_cell_length_a 10.1906
_cell_length_b 10.1278
_cell_length_c 10.1310
_cell_angle_alpha 90.00
_cell_angle_beta 90.00
_cell_angle_gamma 90.00
loop_
_space_group_symop_operation_xyz
'x,y,z'
'-x,-y,z'
'-x,y,z'
'x,-y,z'
'x,y+1/2,z+1/2'
'-x,-y+1/2,z+1/2'
'-x,y+1/2,z+1/2'
'x,-y+1/2,z+1/2'
loop_
_atom_site_label
_atom_site_type_symbol
_atom_site_fract_x
_atom_site_fract_y
_atom_site_fract_z
Tb1 Tb 0.0000 0.0000 0.0000
Sm1 Sm 0.0000 0.2493 0.2504
Sm2 Sm 0.2459 0.0000 0.7495
Sm3 Sm 0.2462 0.2492 0.5002
Sm4 Sm 0.2466 0.0000 0.2507
Sm5 Sm 0.5000 0.0000 0.0002
Sm6 Sm 0.5000 0.0000 0.5002
Sm7 Sm 0.5000 0.2503 0.2502
Cd1 Cd 0.0000 0.0000 0.5000
# DFT formation energy, eV per atom: -0.0084
# Total moment, μB/atom: 0.0000
# Density of states at the Fermi level, states/eV/f.u.: 19.82
# Calculated density, g cm⁻³: 7.5

***

3.
# TbHoCuSn | the Alexandria database | PBE | relaxed
data_TbHoCuSn
_chemical_formula_sum 'Tb4 Ho4 Cu4 Sn4'
_space_group_name_H-M_alt 'F -4 3 m'
_space_group_IT_number 216
_space_group_name_Hall 'F -4 2 3'
_cell_length_a 7.2715
_cell_length_b 7.2715
_cell_length_c 7.2715
_cell_angle_alpha 90.00
_cell_angle_beta 90.00
_cell_angle_gamma 90.00
loop_
_atom_site_label
_atom_site_type_symbol
_atom_site_fract_x
_atom_site_fract_y
_atom_site_fract_z
Tb1 Tb 0.0000 0.0000 0.0000
Ho1 Ho 0.0000 0.0000 0.5000
Cu1 Cu 0.2500 0.2500 0.2500
Sn1 Sn 0.2500 0.2500 0.7500
# DFT formation energy, eV per atom: -0.4292
# Total moment, μB/atom: 0.0002
# Density of states at the Fermi level, states/eV/f.u.: 3.54
# Calculated density, g cm⁻³: 8.7

***

4.
# Zn12Ag | the Alexandria database | PBE | relaxed
data_Zn12Ag
_chemical_formula_sum 'Zn48 Ag4'
_space_group_name_H-M_alt 'F m -3 m'
_space_group_IT_number 225
_space_group_name_Hall '-F 4 2 3'
_cell_length_a 10.6826
_cell_length_b 10.6826
_cell_length_c 10.6826
_cell_angle_alpha 90.00
_cell_angle_beta 90.00
_cell_angle_gamma 90.00
loop_
_atom_site_label
_atom_site_type_symbol
_atom_site_fract_x
_atom_site_fract_y
_atom_site_fract_z
Zn1 Zn 0.0000 0.1699 0.1699
Ag1 Ag 0.0000 0.0000 0.5000
# DFT formation energy, eV per atom: 0.4454
# Total moment, μB/atom: 0.0000
# Density of states at the Fermi level, states/eV/f.u.: 4.74
# Calculated density, g cm⁻³: 4.9

***

5.
# LaYW | the Alexandria database | PBE | relaxed
data_LaYW
_chemical_formula_sum 'La2 Y2 W2'
_space_group_name_H-M_alt 'I m m 2'
_space_group_IT_number 44
_cell_length_a 3.0951
_cell_length_b 4.9629
_cell_length_c 9.6268
_cell_angle_alpha 90.00
_cell_angle_beta 90.00
_cell_angle_gamma 90.00
loop_
_space_group_symop_operation_xyz
'x,y,z'
'-x,-y,z'
'-x,y,z'
'x,-y,z'
'x+1/2,y+1/2,z+1/2'
'-x+1/2,-y+1/2,z+1/2'
'-x+1/2,y+1/2,z+1/2'
'x+1/2,-y+1/2,z+1/2'
loop_
_atom_site_label
_atom_site_type_symbol
_atom_site_fract_x
_atom_site_fract_y
_atom_site_fract_z
La1 La 0.0000 0.0000 0.0000
Y1 Y 0.0000 0.0000 0.3154
W1 W 0.0000 0.0000 0.6645
# DFT formation energy, eV per atom: 0.6762
# Total moment, μB/atom: 0.0000
# Density of states at the Fermi level, states/eV/f.u.: 3.86
# Calculated density, g cm⁻³: 9.2

***

6.
# Dy6Ho5Sc | the Alexandria database | PBE | relaxed
data_Dy6Ho5Sc
_chemical_formula_sum 'Dy12 Ho10 Sc2'
_space_group_name_H-M_alt 'C 1 2/m 1'
_space_group_IT_number 12
_cell_length_a 11.0777
_cell_length_b 14.9385
_cell_length_c 4.9638
_cell_angle_alpha 90.00
_cell_angle_beta 116.52
_cell_angle_gamma 90.00
loop_
_space_group_symop_operation_xyz
'x,y,z'
'-x,-y,-z'
'-x,y,-z'
'x,-y,z'
'x+1/2,y+1/2,z'
'-x+1/2,-y+1/2,-z'
'-x+1/2,y+1/2,-z'
'x+1/2,-y+1/2,z'
loop_
_atom_site_label
_atom_site_type_symbol
_atom_site_fract_x
_atom_site_fract_y
_atom_site_fract_z
Dy1 Dy 0.2462 0.0000 0.2463
Dy2 Dy 0.2480 0.1658 0.7480
Ho1 Ho 0.0000 0.1651 0.0000
Ho2 Ho 0.0000 0.3340 0.5000
Ho3 Ho 0.0000 0.5000 0.0000
Sc1 Sc 0.0000 0.0000 0.5000
# DFT formation energy, eV per atom: 0.0275
# Total moment, μB/atom: 0.0000
# Density of states at the Fermi level, states/eV/f.u.: 16.14
# Calculated density, g cm⁻³: 8.3